<1>
First-principles (PBE) data for a relaxed structure of Ti6Zn2In, as listed in Alexandria.

- space group = Immm (71)
- Fermi-level density of states (states/eV per atom) = 1.573
- V (Å³ per atom) = 17.535
- calculated density (g/cm³) = 5.6

Cell: 7.470 7.470 7.470 Å, 100.97 114.24 113.52°
Site moments in Bohr magnetons follow the coordinates.
Atoms (fractional coordinates):
Ti1 0.497 0.707 0.790  0.16
Ti2 0.503 0.293 0.210  0.16
Ti3 0.083 0.293 0.790  0.16
Ti4 0.917 0.707 0.210  0.16
Ti5 0.791 0.749 0.540  0.06
Ti6 0.209 0.251 0.460  0.06
Ti7 0.209 0.749 0.958  0.06
Ti8 0.791 0.251 0.042  0.06
Ti9 0.721 0.406 0.685  0.13
Ti10 0.279 0.594 0.315  0.13
Ti11 0.279 0.965 0.685  0.13
Ti12 0.721 0.035 0.315  0.13
Zn1 0.500 0.375 0.875  0.01
Zn2 0.500 0.625 0.125  0.01
Zn3 0.651 0.000 0.651  0.00
Zn4 0.349 0.000 0.349  0.00
In1 0.000 0.500 0.500  -0.01
In2 0.000 0.000 0.000  0.00

<2>
First-principles (PBE) data for a relaxed structure of Ti6Zn2In, as listed in Alexandria.

- space group = Immm (71)
- Fermi-level density of states (states/eV per atom) = 1.227
- V (Å³ per atom) = 17.305
- calculated density (g/cm³) = 5.7

Cell: 2.777 8.215 8.215 Å, 57.90 80.27 80.27°
Site moments in Bohr magnetons follow the coordinates.
Atoms (fractional coordinates):
Ti1 0.172 0.514 0.142  0.31
Ti2 0.828 0.486 0.858  0.31
Ti3 0.828 0.858 0.486  0.31
Ti4 0.000 0.165 0.835  0.85
Ti5 0.000 0.835 0.165  0.85
Ti6 0.172 0.142 0.514  0.31
Zn1 0.346 0.154 0.154  0.00
Zn2 0.654 0.846 0.846  0.00
In1 0.500 0.500 0.500  -0.01

The structure with the greatest stability is <1>.

<1>
First-principles (PBE) data for a relaxed structure of Ti5ZnIn2, as listed in Alexandria.

- space group = Cmcm (63)
- Fermi-level density of states (states/eV per atom) = 1.201
- V (Å³ per atom) = 21.213
- calculated density (g/cm³) = 5.2

Cell: 4.423 7.036 11.487 Å, 90.00 90.00 108.32°
Atoms (fractional coordinates):
Ti1 0.876 0.752 0.873
Ti2 0.876 0.752 0.627
Ti3 0.306 0.613 0.494
Ti4 0.306 0.613 0.006
Ti5 0.706 0.412 0.250
Ti6 0.294 0.588 0.750
Ti7 0.694 0.387 0.506
Ti8 0.694 0.387 0.994
Ti9 0.124 0.248 0.127
Ti10 0.124 0.248 0.373
Zn1 0.684 0.369 0.750
Zn2 0.316 0.631 0.250
In1 0.908 0.816 0.376
In2 0.908 0.816 0.124
In3 0.092 0.184 0.624
In4 0.092 0.184 0.876

<2>
First-principles (PBE) data for a relaxed structure of Ti5ZnIn2, as listed in Alexandria.

- space group = I4/mmm (139)
- Fermi-level density of states (states/eV per atom) = 0.947
- V (Å³ per atom) = 17.777
- calculated density (g/cm³) = 6.2

Cell: 4.080 4.080 9.018 Å, 103.07 103.07 90.00°
Atoms (fractional coordinates):
Ti1 0.500 0.500 0.000
Ti2 0.884 0.384 0.768
Ti3 0.384 0.884 0.768
Ti4 0.116 0.616 0.232
Ti5 0.616 0.116 0.232
Zn1 0.000 0.000 0.000
In1 0.750 0.750 0.499
In2 0.250 0.250 0.501

The structure with the greatest stability is <2>.

<1>
First-principles (PBE) data for a relaxed structure of Zr3TiIn2, as listed in Alexandria.

- space group = Cmmm (65)
- Fermi-level density of states (states/eV per atom) = 0.939
- V (Å³ per atom) = 21.648
- calculated density (g/cm³) = 7.0

Cell: 7.106 7.106 8.940 Å, 90.00 90.00 144.87°
Atoms (fractional coordinates):
Zr1 0.832 0.168 0.764
Zr2 0.500 0.500 0.246
Zr3 0.168 0.832 0.236
Zr4 0.832 0.168 0.236
Zr5 0.168 0.832 0.764
Zr6 0.500 0.500 0.754
Ti1 0.326 0.674 0.000
Ti2 0.674 0.326 0.000
In1 0.000 0.000 0.000
In2 0.000 0.000 0.500
In3 0.332 0.668 0.500
In4 0.668 0.332 0.500

<2>
First-principles (PBE) data for a relaxed structure of Zr3TiIn2, as listed in Alexandria.

- space group = Immm (71)
- Fermi-level density of states (states/eV per atom) = 1.240
- V (Å³ per atom) = 22.840
- calculated density (g/cm³) = 6.7

Cell: 3.014 5.373 9.005 Å, 107.36 99.63 90.00°
Site moments in Bohr magnetons follow the coordinates.
Atoms (fractional coordinates):
Zr1 0.000 0.500 0.000  0.02
Zr2 0.833 0.833 0.666  0.04
Zr3 0.167 0.167 0.334  0.04
Ti1 0.000 0.000 0.000  0.59
In1 0.658 0.658 0.317  0.00
In2 0.342 0.342 0.683  0.00

The structure with the greatest stability is <1>.

<1>
First-principles (PBE) data for a relaxed structure of Zr4TiIn, as listed in Alexandria.

- space group = P2/m (10)
- Fermi-level density of states (states/eV per atom) = 1.624
- V (Å³ per atom) = 22.744
- calculated density (g/cm³) = 6.4

Cell: 3.031 8.652 5.204 Å, 89.98 89.89 90.00°
Atoms (fractional coordinates):
Zr1 0.500 0.691 0.000
Zr2 0.500 0.309 0.000
Zr3 0.000 0.180 0.500
Zr4 0.000 0.820 0.500
Ti1 0.000 0.000 0.000
In1 0.500 0.500 0.500

<2>
First-principles (PBE) data for a relaxed structure of Zr4TiIn, as listed in Alexandria.

- space group = C2/m (12)
- Fermi-level density of states (states/eV per atom) = 1.578
- V (Å³ per atom) = 22.013
- calculated density (g/cm³) = 6.6

Cell: 5.209 5.556 5.972 Å, 90.83 64.14 62.05°
Site moments in Bohr magnetons follow the coordinates.
Atoms (fractional coordinates):
Zr1 0.653 0.692 0.001  -0.02
Zr2 0.347 0.308 0.999  -0.02
Zr3 0.152 0.175 0.521  -0.01
Zr4 0.848 0.825 0.479  -0.01
Ti1 0.000 0.000 0.000  0.40
In1 0.500 0.500 0.500  0.01

The structure with the greatest stability is <2>.

<1>
First-principles (PBE) data for a relaxed structure of ZrTiIn2, as listed in Alexandria.

- space group = I-42d (122)
- Fermi-level density of states (states/eV per atom) = 0.881
- V (Å³ per atom) = 22.615
- calculated density (g/cm³) = 6.8

Cell: 7.813 7.813 6.269 Å, 51.46 51.46 90.00°
Atoms (fractional coordinates):
Ti1 0.500 0.500 0.000
Ti2 0.250 0.750 0.500
Zr1 0.000 0.000 0.000
Zr2 0.750 0.250 0.500
In1 0.610 0.125 0.250
In2 0.140 0.625 0.250
In3 0.375 0.390 0.750
In4 0.875 0.860 0.750

<2>
First-principles (PBE) data for a relaxed structure of ZrTiIn2, as listed in Alexandria.

- space group = P4/mmm (123)
- Fermi-level density of states (states/eV per atom) = 0.819
- V (Å³ per atom) = 20.700
- calculated density (g/cm³) = 7.4

Cell: 4.391 4.343 4.343 Å, 90.00 90.00 90.00°
Atoms (fractional coordinates):
Ti1 0.500 0.000 0.000
Zr1 0.500 0.500 0.500
In1 0.000 0.000 0.500
In2 0.000 0.500 0.000

The structure with the greatest stability is <2>.

<1>
First-principles (PBE) data for a relaxed structure of ZrTiIn2, as listed in Alexandria.

- space group = P4/mmm (123)
- Fermi-level density of states (states/eV per atom) = 0.932
- V (Å³ per atom) = 20.678
- calculated density (g/cm³) = 7.4

Cell: 3.079 3.079 8.727 Å, 90.00 90.00 90.00°
Atoms (fractional coordinates):
Ti1 0.500 0.500 0.000
Zr1 0.500 0.500 0.500
In1 0.000 0.000 0.762
In2 0.000 0.000 0.238

<2>
First-principles (PBE) data for a relaxed structure of ZrTiIn2, as listed in Alexandria.

- space group = Fm-3m (225)
- Fermi-level density of states (states/eV per atom) = 1.205
- V (Å³ per atom) = 21.013
- calculated density (g/cm³) = 7.3

Cell: 4.917 4.917 4.917 Å, 60.00 60.00 60.00°
Site moments in Bohr magnetons follow the coordinates.
Atoms (fractional coordinates):
Ti1 0.000 0.000 0.000  0.82
Zr1 0.500 0.500 0.500  0.14
In1 0.250 0.250 0.250  0.01
In2 0.750 0.750 0.750  0.01

<3>
First-principles (PBE) data for a relaxed structure of ZrTiIn2, as listed in Alexandria.

- space group = R3m (160)
- Fermi-level density of states (states/eV per atom) = 1.288
- V (Å³ per atom) = 24.631
- calculated density (g/cm³) = 6.2

Cell: 4.299 4.299 6.638 Å, 71.11 71.11 60.00°
Site moments in Bohr magnetons follow the coordinates.
Atoms (fractional coordinates):
Zr1 0.672 0.672 0.984  0.00
Ti1 0.493 0.493 0.521  0.07
In1 0.088 0.088 0.737  0.00
In2 0.247 0.247 0.258  0.00

The structure with the greatest stability is <1>.

<1>
First-principles (PBE) data for a relaxed structure of TlIn4, as listed in Alexandria.

- space group = Pm-3m (221)
- Fermi-level density of states (states/eV per atom) = 0.897
- V (Å³ per atom) = 38.581
- calculated density (g/cm³) = 5.7

Cell: 5.778 5.778 5.778 Å, 90.00 90.00 90.00°
Atoms (fractional coordinates):
Tl1 0.500 0.500 0.500
In1 0.000 0.000 0.000
In2 0.500 0.000 0.500
In3 0.000 0.500 0.500
In4 0.500 0.500 0.000

<2>
First-principles (PBE) data for a relaxed structure of TlIn4, as listed in Alexandria.

- space group = Im-3m (229)
- Fermi-level density of states (states/eV per atom) = 0.658
- V (Å³ per atom) = 34.445
- calculated density (g/cm³) = 6.4

Cell: 6.071 6.071 6.071 Å, 109.47 109.47 109.47°
Atoms (fractional coordinates):
Tl1 0.000 0.000 0.000
In1 0.500 0.000 0.000
In2 0.500 0.500 0.500
In3 0.000 0.500 0.000
In4 0.000 0.000 0.500

The structure with the greatest stability is <2>.

<1>
First-principles (PBE) data for a relaxed structure of TlIn4, as listed in Alexandria.

- space group = Fmmm (69)
- Fermi-level density of states (states/eV per atom) = 0.420
- V (Å³ per atom) = 30.226
- calculated density (g/cm³) = 7.3

Cell: 6.893 7.362 7.362 Å, 125.99 90.00 90.00°
Atoms (fractional coordinates):
Tl1 0.250 0.250 0.750
Tl2 0.750 0.750 0.250
In1 0.500 0.750 0.750
In2 0.500 0.250 0.250
In3 0.250 0.859 0.141
In4 0.250 0.641 0.359
In5 0.000 0.750 0.750
In6 0.000 0.250 0.250
In7 0.750 0.359 0.641
In8 0.750 0.141 0.859

<2>
First-principles (PBE) data for a relaxed structure of TlIn4, as listed in Alexandria.

- space group = I4/m (87)
- Fermi-level density of states (states/eV per atom) = 0.489
- V (Å³ per atom) = 27.944
- calculated density (g/cm³) = 7.9

Cell: 6.006 6.006 6.006 Å, 98.10 98.10 135.92°
Atoms (fractional coordinates):
In1 0.804 0.399 0.203
In2 0.399 0.196 0.595
In3 0.196 0.601 0.797
In4 0.601 0.804 0.405
Tl1 0.000 0.000 0.000

The structure with the greatest stability is <2>.